Here is crystalline TiP2PbS8 at its relaxed geometry from the Alexandria database. Energies are from GGA-PBE.

Lattice parameters (Å, degrees): 9.9185 6.5760 8.5528 90.00 95.08 90.00
With the nearest neighbours (Å) after each atom.
Space group C2/m (No. 12)
Asymmetric unit:
Ti (0.0000, 0.0000, 0.0000) (multiplicity 2)  6 S 2.41-2.46
P (0.1320, 0.5000, 0.7814) (multiplicity 4)  4 S 1.99-2.12
Pb (0.0000, 0.0000, 0.5000) (multiplicity 2)  6 S 3.00-3.08
S (0.0061, 0.2550, 0.2103) (multiplicity 8)  1 P 2.12
S (0.2011, 0.5000, 0.5697) (multiplicity 4)  1 P 1.99
S (0.2441, 0.0000, 0.0131) (multiplicity 4)  1 P 2.05

Calculated values
Total magnetic moment in μB per cell: 0.000
Density of states at the Fermi level in states/eV/cell: 4.22
Energy in eV per atom: -5.031
Calculated volume in A^3/atom: 23.15

---

Here is crystalline Tl2P2PbS6 at its relaxed geometry from the Alexandria database. Energies are from GGA-PBE.

Lattice parameters (Å, degrees): 6.9136 6.9136 22.7093 90.00 90.00 120.00
With the nearest neighbours (Å) after each atom.
Space group R-3m (No. 166, hexagonal axes)
Asymmetric unit:
Tl (0.0000, 0.0000, 0.2157) (multiplicity 6)  9 S 3.38-3.49
P (0.0000, 0.0000, 0.4486) (multiplicity 6)  3 S 2.03
Pb (0.0000, 0.0000, 0.0000) (multiplicity 3)  6 S 2.96
S (0.0023, 0.5011, 0.2375) (multiplicity 18)  1 P 2.03

Calculated values
Total magnetic moment in μB per cell: 0.000
Energy in eV per atom: -4.341
Calculated volume in A^3/atom: 28.49

---

Here is crystalline Tm8P3Pb3S at its relaxed geometry from the Alexandria database. Energies are from GGA-PBE.

Lattice parameters (Å, degrees): 7.7214 7.7328 8.7952 64.06 64.03 60.11
With the nearest neighbours (Å) after each atom.
Space group P-1 (No. 2)
Asymmetric unit:
Tm (0.2314, 0.2363, 0.2962) (multiplicity 2)  2 P 2.71, 1 S 2.73
Tm (0.2330, 0.7329, 0.3010) (multiplicity 2)  3 P 2.69-2.70
Tm (0.2639, 0.2686, 0.7036) (multiplicity 2)  2 P 2.71, 1 S 2.73
Tm (0.2643, 0.7640, 0.7036) (multiplicity 2)  2 P 2.71, 1 S 2.73
P (0.0000, 0.0000, 0.5000) (multiplicity 1)  6 Tm 2.70-2.71
P (0.0000, 0.5000, 0.5000) (multiplicity 1)  6 Tm 2.69-2.71
P (0.5000, 0.5000, 0.5000) (multiplicity 1)  6 Tm 2.69-2.71
Pb (0.0000, 0.0000, 0.0000) (multiplicity 1)  6 Tm 3.18-3.19
Pb (0.5000, 0.0000, 0.0000) (multiplicity 1)  6 Tm 3.18-3.19
Pb (0.5000, 0.5000, 0.0000) (multiplicity 1)  6 Tm 3.17-3.19
S (0.5000, 0.0000, 0.5000) (multiplicity 1)  6 Tm 2.73

Calculated values
Total magnetic moment in μB per cell: 0.000
Density of states at the Fermi level in states/eV/cell: 8.39
Energy in eV per atom: -5.512
Calculated volume in A^3/atom: 26.19

---

Here is crystalline Tm6P2PbS3 at its relaxed geometry from the Alexandria database. Energies are from GGA-PBE.

Lattice parameters (Å, degrees): 17.3556 3.9289 8.0666 90.00 102.70 90.00
With the nearest neighbours (Å) after each atom.
Space group C2/m (No. 12)
Asymmetric unit:
Tm (0.0035, 0.0000, 0.2748) (multiplicity 4)  3 S 2.69-2.87, 1 P 2.79, 2 Pb 2.95
Tm (0.1707, 0.5000, 0.5786) (multiplicity 4)  3 P 2.73-2.76, 3 S 2.85-2.89
Tm (0.1746, 0.5000, 0.0996) (multiplicity 4)  3 S 2.70-2.90, 2 P 2.76, 1 Pb 2.96
P (0.1680, 0.0000, 0.3370) (multiplicity 4)  6 Tm 2.73-2.79
Pb (0.0000, 0.5000, 0.0000) (multiplicity 2)  6 Tm 2.95-2.96
S (0.0000, 0.5000, 0.5000) (multiplicity 2)  6 Tm 2.69-2.89
S (0.1657, 0.0000, 0.8319) (multiplicity 4)  6 Tm 2.70-2.90

Calculated values
Total magnetic moment in μB per cell: 0.000
Density of states at the Fermi level in states/eV/cell: 8.02
Energy in eV per atom: -6.037
Calculated volume in A^3/atom: 22.36

---

Here is crystalline Tm4PPb2S at its relaxed geometry from the Alexandria database. Energies are from GGA-PBE.

Lattice parameters (Å, degrees): 6.6156 3.8564 8.0918 90.00 106.10 90.00
With the nearest neighbours (Å) after each atom.
Space group P2/m (No. 10)
Asymmetric unit:
Tm (0.2317, 0.0000, 0.1977) (multiplicity 2)  2 P 2.70, 1 S 2.70
Tm (0.2654, 0.5000, 0.8019) (multiplicity 2)  1 P 2.69, 2 S 2.70
P (0.0000, 0.5000, 0.0000) (multiplicity 1)  6 Tm 2.69-2.70
Pb (0.0000, 0.0000, 0.5000) (multiplicity 1)  6 Tm 3.22-3.23
Pb (0.5000, 0.5000, 0.5000) (multiplicity 1)  6 Tm 3.23-3.24
S (0.5000, 0.0000, 0.0000) (multiplicity 1)  6 Tm 2.70

Calculated values
Total magnetic moment in μB per cell: 0.000
Density of states at the Fermi level in states/eV/cell: 2.75
Energy in eV per atom: -5.466
Calculated volume in A^3/atom: 24.79

---

Here is crystalline Tm3PPbS at its relaxed geometry from the Alexandria database. Energies are from GGA-PBE.

Lattice parameters (Å, degrees): 7.0538 4.0027 10.7970 90.00 102.72 90.00
With the nearest neighbours (Å) after each atom.
Space group P2_1/m (No. 11)
Asymmetric unit:
Tm (0.0403, 0.2500, 0.1500) (multiplicity 2)  1 S 2.78, 3 P 2.82-2.83
Tm (0.2434, 0.2500, 0.5067) (multiplicity 2)  3 S 2.69-2.73
Tm (0.4406, 0.7500, 0.8442) (multiplicity 2)  1 S 2.77, 3 P 2.84-2.85
P (0.2337, 0.2500, 0.9460) (multiplicity 2)  6 Tm 2.82-2.85
Pb (0.3505, 0.7500, 0.3068) (multiplicity 2)  7 Tm 3.12-3.17
S (0.1254, 0.7500, 0.6390) (multiplicity 2)  5 Tm 2.69-2.78

Calculated values
Total magnetic moment in μB per cell: 0.000
Density of states at the Fermi level in states/eV/cell: 3.45
Energy in eV per atom: -5.722
Calculated volume in A^3/atom: 24.78

---

Here is crystalline UP2PbS8 at its relaxed geometry from the Alexandria database. Energies are from GGA-PBE.

Lattice parameters (Å, degrees): 10.3653 6.9845 8.7164 90.00 93.50 90.00
With the nearest neighbours (Å) after each atom.
Space group C2/m (No. 12)
Asymmetric unit:
U (0.0000, 0.0000, 0.0000) (multiplicity 2)  6 S 2.66-2.71
P (0.1380, 0.5000, 0.7656) (multiplicity 4)  4 S 1.98-2.13
Pb (0.0000, 0.0000, 0.5000) (multiplicity 2)  6 S 3.01-3.02
S (0.0083, 0.2642, 0.7737) (multiplicity 8)  1 P 2.13
S (0.2173, 0.5000, 0.5645) (multiplicity 4)  1 P 1.98
S (0.2432, 0.5000, 0.9733) (multiplicity 4)  1 P 2.06

Calculated values
Total magnetic moment in μB per cell: 4.003
Density of states at the Fermi level in states/eV/cell: 8.93
Energy in eV per atom: -5.345
Calculated volume in A^3/atom: 26.24

---

Here is crystalline VPPbS2 at its relaxed geometry from the Alexandria database. Energies are from GGA-PBE.

Lattice parameters (Å, degrees): 5.1618 5.1618 5.1021 90.00 90.00 90.00
With the nearest neighbours (Å) after each atom.
Space group P4/mmm (No. 123)
Asymmetric unit:
V (0.0000, 0.0000, 0.0000) (multiplicity 1)  8 S 3.63, 4 P 3.65
P (0.5000, 0.5000, 0.0000) (multiplicity 1)  2 Pb 2.55
Pb (0.5000, 0.5000, 0.5000) (multiplicity 1)  2 P 2.55, 4 S 2.58
S (0.0000, 0.5000, 0.5000) (multiplicity 2)  2 Pb 2.58

Calculated values
Polymorph energy (0 for the lowest one) in kJ/mol of formula units: 612
Total magnetic moment in μB per cell: 1.916
Density of states at the Fermi level in states/eV/cell: 6.50
Energy in eV per atom: -4.159
Calculated volume in A^3/atom: 27.19

---

Here is crystalline VPPbS2 at its relaxed geometry from the Alexandria database. Energies are from GGA-PBE.

Lattice parameters (Å, degrees): 4.7986 4.7986 4.7841 90.00 90.00 90.00
With the nearest neighbours (Å) after each atom.
Space group P4/mmm (No. 123)
Asymmetric unit:
V (0.0000, 0.0000, 0.0000) (multiplicity 1)  2 P 2.39, 4 S 2.40
P (0.0000, 0.0000, 0.5000) (multiplicity 1)  2 V 2.39
Pb (0.5000, 0.5000, 0.5000) (multiplicity 1)  8 S 3.39, 4 P 3.39
S (0.0000, 0.5000, 0.0000) (multiplicity 2)  2 V 2.40

Calculated values
Polymorph energy (0 for the lowest one) in kJ/mol of formula units: 0
Total magnetic moment in μB per cell: 0.000
Density of states at the Fermi level in states/eV/cell: 4.76
Energy in eV per atom: -5.427
Calculated volume in A^3/atom: 22.03

---

Here is crystalline P2PbWS at its relaxed geometry from the Alexandria database. Energies are from GGA-PBE.

Lattice parameters (Å, degrees): 5.0522 5.0522 5.0752 90.00 90.00 90.00
With the nearest neighbours (Å) after each atom.
Space group P4/mmm (No. 123)
Asymmetric unit:
P (0.0000, 0.5000, 0.0000) (multiplicity 2)  2 Pb 2.53
Pb (0.0000, 0.0000, 0.0000) (multiplicity 1)  4 P 2.53, 2 S 2.54
W (0.5000, 0.5000, 0.5000) (multiplicity 1)  4 S 3.57, 8 P 3.58
S (0.0000, 0.0000, 0.5000) (multiplicity 1)  2 Pb 2.54

Calculated values
Total magnetic moment in μB per cell: 2.244
Density of states at the Fermi level in states/eV/cell: 3.38
Energy in eV per atom: -4.282
Calculated volume in A^3/atom: 25.91

---

Here is crystalline PPbWS2 at its relaxed geometry from the Alexandria database. Energies are from GGA-PBE.

Lattice parameters (Å, degrees): 4.6934 4.6934 4.9185 90.00 90.00 90.00
With the nearest neighbours (Å) after each atom.
Space group P4/mmm (No. 123)
Asymmetric unit:
P (0.0000, 0.0000, 0.0000) (multiplicity 1)  2 W 2.46
Pb (0.5000, 0.5000, 0.0000) (multiplicity 1)  4 P 3.32, 8 S 3.40
W (0.0000, 0.0000, 0.5000) (multiplicity 1)  4 S 2.35, 2 P 2.46
S (0.0000, 0.5000, 0.5000) (multiplicity 2)  2 W 2.35

Calculated values
Polymorph energy (0 for the lowest one) in kJ/mol of formula units: 0
Total magnetic moment in μB per cell: 0.000
Density of states at the Fermi level in states/eV/cell: 2.43
Energy in eV per atom: -6.018
Calculated volume in A^3/atom: 21.67

---

Here is crystalline PPbWS2 at its relaxed geometry from the Alexandria database. Energies are from GGA-PBE.

Lattice parameters (Å, degrees): 5.1372 5.1372 5.1802 90.00 90.00 90.00
With the nearest neighbours (Å) after each atom.
Space group P4/mmm (No. 123)
Asymmetric unit:
P (0.0000, 0.0000, 0.0000) (multiplicity 1)  2 Pb 2.59
Pb (0.0000, 0.0000, 0.5000) (multiplicity 1)  4 S 2.57, 2 P 2.59
W (0.5000, 0.5000, 0.0000) (multiplicity 1)  4 P 3.63, 8 S 3.65
S (0.0000, 0.5000, 0.5000) (multiplicity 2)  2 Pb 2.57

Calculated values
Polymorph energy (0 for the lowest one) in kJ/mol of formula units: 854
Total magnetic moment in μB per cell: 2.475
Density of states at the Fermi level in states/eV/cell: 3.46
Energy in eV per atom: -4.248
Calculated volume in A^3/atom: 27.34